This record from the Alexandria database describes a crystal of Ta2Bi2Se relaxed with PBEsol. The functional is SCAN.

a = 3.7366 Å, b = 3.7366 Å, c = 17.2877 Å
α = 90.00°, β = 90.00°, γ = 90.00°
With the nearest neighbours (Å) after each atom.
Space group I4/mmm (No. 139)
One atom of each set of equivalent atoms:
Ta: 0.0000 0.5000 0.2500 [4 per cell]  4 Ta 2.64
Bi: 0.0000 0.0000 0.1062 [4 per cell]  4 Ta 3.11, 4 Se 3.22
Se: 0.0000 0.0000 0.5000 [2 per cell]  8 Bi 3.22

Computed properties:
The calculation puts the calculated total energy at -61.49 eV/atom. The calculation puts the density of states at the Fermi level at 1.153 states/eV/atom. The magnetic moment is 0.00 μB per cell.

This record from the Alexandria database describes a crystal of BiTeSe2 relaxed with PBEsol. The functional is SCAN.

a = 3.9659 Å, b = 3.9659 Å, c = 27.0624 Å
α = 90.00°, β = 90.00°, γ = 120.00°
With the nearest neighbours (Å) after each atom.
Space group R-3m (No. 166, hexagonal axes)
One atom of each set of equivalent atoms:
Bi: 0.0000 0.0000 0.0000 [3 per cell]  6 Se 2.92
Te: 0.0000 0.0000 0.5000 [3 per cell]  2 Se 2.70
Se: 0.0000 0.0000 0.4002 [6 per cell]  1 Te 2.70, 3 Bi 2.92

Computed properties:
The calculation puts the calculated total energy at -39.00 eV/atom. The calculation puts the density of states at the Fermi level at 0.482 states/eV/atom. The magnetic moment is 0.00 μB per cell.

This record from the Alexandria database describes a crystal of BiTeSe2 relaxed with PBEsol. The functional is SCAN.

a = 3.6933 Å, b = 3.6933 Å, c = 28.7377 Å
α = 90.00°, β = 90.00°, γ = 120.00°
With the nearest neighbours (Å) after each atom.
Space group R-3m (No. 166, hexagonal axes)
One atom of each set of equivalent atoms:
Bi: 0.0000 0.0000 0.0000 [3 per cell]  2 Se 2.88
Te: 0.0000 0.0000 0.5000 [3 per cell]  6 Se 2.86
Se: 0.0000 0.0000 0.1001 [6 per cell]  3 Te 2.86, 1 Bi 2.88

Computed properties:
The calculation puts the calculated total energy at -38.83 eV/atom. The calculation puts the density of states at the Fermi level at 0.507 states/eV/atom. The magnetic moment is 0.00 μB per cell.

This record from the Alexandria database describes a crystal of TiZn2BiSe relaxed with PBEsol. The functional is SCAN.

a = 5.0810 Å, b = 5.0810 Å, c = 5.4432 Å
α = 90.00°, β = 90.00°, γ = 90.00°
With the nearest neighbours (Å) after each atom.
Space group P4/mmm (No. 123)
One atom of each set of equivalent atoms:
Ti: 0.0000 0.0000 0.0000 [1 per cell]  2 Bi 2.72
Zn: 0.0000 0.5000 0.5000 [2 per cell]  2 Bi 2.54
Bi: 0.0000 0.0000 0.5000 [1 per cell]  4 Zn 2.54, 2 Ti 2.72
Se: 0.5000 0.5000 0.0000 [1 per cell]  4 Ti 3.59, 8 Zn 3.72

Computed properties:
The calculation puts the calculated total energy at -27.71 eV/atom. The calculation puts the density of states at the Fermi level at 0.314 states/eV/atom. The magnetic moment is 2.03 μB per cell.

This record from the Alexandria database describes a crystal of BiW2Se relaxed with PBEsol. The functional is SCAN.

a = 6.5448 Å, b = 6.5448 Å, c = 6.5448 Å
α = 90.00°, β = 90.00°, γ = 90.00°
With the nearest neighbours (Å) after each atom.
Space group Fm-3m (No. 225)
One atom of each set of equivalent atoms:
Bi: 0.0000 0.0000 0.0000 [4 per cell]  8 W 2.83
W: 0.2500 0.2500 0.2500 [8 per cell]  4 Se 2.83, 4 Bi 2.83
Se: 0.0000 0.0000 0.5000 [4 per cell]  8 W 2.83

Computed properties:
The calculation puts the calculated total energy at -58.34 eV/atom. The calculation puts the density of states at the Fermi level at 1.001 states/eV/atom. The magnetic moment is 0.00 μB per cell.

This record from the Alexandria database describes a crystal of ZnBi3Se relaxed with PBEsol. The functional is SCAN.

a = 5.2724 Å, b = 5.2724 Å, c = 5.2724 Å
α = 90.00°, β = 90.00°, γ = 90.00°
With the nearest neighbours (Å) after each atom.
Space group Pm-3m (No. 221)
One atom of each set of equivalent atoms:
Zn: 0.0000 0.0000 0.0000 [1 per cell]  6 Bi 2.64
Bi: 0.0000 0.0000 0.5000 [3 per cell]  2 Zn 2.64
Se: 0.5000 0.5000 0.5000 [1 per cell]  12 Bi 3.73

Computed properties:
The calculation puts the calculated total energy at -53.24 eV/atom. The calculation puts the density of states at the Fermi level at 1.315 states/eV/atom. The magnetic moment is 0.00 μB per cell.